1.
K2SrUSe4: optimized geometry, GGA-PBE.

Lattice parameters (Å, degrees): 4.3634 7.6198 8.0481 107.98 90.00 90.00
Element x y z (fractional)
1 Se 0.0000 0.2359 0.7897
2 Sr 0.5000 0.5000 0.0000
3 Se 0.5000 0.7851 0.7950
4 K 0.0000 0.5000 0.5000
5 Se 0.0000 0.7641 0.2103
6 U 0.0000 0.0000 0.0000
7 Se 0.5000 0.2149 0.2050
8 K 0.5000 0.0000 0.5000

Computed properties:
formation energy from raw total energies	-1.478	eV per atom
DOS at the Fermi energy	0.555	states/eV per atom
energy	-40.9	eV per cell

---

2.
MgZn2Au4: optimized geometry, GGA-PBE.

Lattice parameters (Å, degrees): 5.7252 5.5246 5.5246 74.06 58.79 58.79
Element x y z (fractional)
1 Au 0.5000 0.0000 0.5000
2 Zn 0.0000 0.5000 0.5000
3 Au 0.5000 0.5000 0.0000
4 Mg 0.0000 0.0000 0.0000
5 Au 0.0000 0.5000 0.0000
6 Zn 0.5000 0.5000 0.5000
7 Au 0.0000 0.0000 0.5000

Computed properties:
DOS at the Fermi energy	0.233	states/eV per atom
calculated formation energy	-267	meV per atom
energy	-19.1	eV per cell